! MgReAg2C | Alexandria | GGA-PBEsol | relaxed; values from VASP
! Total DFT energy (no corrections), Ry/atom: -0.2957
! SG: No. 123
! Total moment, μB per formula unit: 2.86
! DFT formation energy, eV/atom: 2.24
&SYSTEM
  ibrav = 0, nat = 5, ntyp = 4
/
ATOMIC_SPECIES
C 12.01 C.upf
Re 186.21 Re.upf
Ag 107.87 Ag.upf
Mg 24.30 Mg.upf
ATOMIC_POSITIONS angstrom
C -0.6303 1.8204 -0.2890
Re -2.6205 0.7432 -2.7339
Ag -2.2174 -0.7865 -0.1183
Ag 0.2272 -0.2907 -2.3266
Mg 0.0000 0.0000 0.0000
CELL_PARAMETERS angstrom
-1.2606 3.6408 -0.5781
0.4544 -0.5815 -4.6532
-4.4347 -1.5730 -0.2365

---

! FeP2AuCl | Alexandria | GGA-PBEsol | relaxed; values from VASP
! Total DFT energy (no corrections), Ry/atom: -0.2968
! SG: No. 123
! Total moment, μB per formula unit: 3.59
&SYSTEM
  ibrav = 0, nat = 5, ntyp = 4
/
ATOMIC_SPECIES
P 30.97 P.upf
Au 196.97 Au.upf
Cl 35.45 Cl.upf
Fe 55.84 Fe.upf
ATOMIC_POSITIONS angstrom
P 2.3636 0.0000 0.0000
P 0.0000 2.3636 0.0000
Au 0.0000 0.0000 0.0000
Cl 0.0000 0.0000 2.4429
Fe 2.3636 2.3636 2.4429
CELL_PARAMETERS angstrom
4.7272 0.0000 0.0000
0.0000 4.7272 0.0000
0.0000 0.0000 4.8858

---

! BeInCo2 | Alexandria | GGA-PBEsol | relaxed; values from VASP
! Total DFT energy (no corrections), Ry/atom: -0.3764
! SG: No. 122
! Total moment, μB per formula unit: 2.07
! DFT formation energy, eV/atom: 0.49
&SYSTEM
  ibrav = 0, nat = 8, ntyp = 3
/
ATOMIC_SPECIES
In 114.82 In.upf
Be 9.01 Be.upf
Co 58.93 Co.upf
ATOMIC_POSITIONS angstrom
In -4.3600 -0.3166 -0.7829
In 0.0000 0.0000 0.0000
Be -4.0681 1.0980 1.4027
Be -0.7100 2.1593 -1.3027
Co -6.0434 -0.0283 1.1396
Co -2.8273 1.4652 -1.8265
Co -5.5339 -2.0386 1.7441
Co -2.4517 2.1644 0.1824
CELL_PARAMETERS angstrom
-0.4181 3.5739 0.8830
-1.0018 0.7447 -3.4884
-7.0082 -3.5372 3.2252

---

! CaZn2FeW | Alexandria | GGA-PBEsol | relaxed; values from VASP
! Total DFT energy (no corrections), Ry/atom: -0.2543
! SG: No. 123
! Total moment, μB per formula unit: 1.56
! DFT formation energy, eV/atom: 2.15
&SYSTEM
  ibrav = 0, nat = 5, ntyp = 4
/
ATOMIC_SPECIES
Zn 65.41 Zn.upf
Fe 55.84 Fe.upf
Ca 40.08 Ca.upf
W 183.84 W.upf
ATOMIC_POSITIONS angstrom
Zn 0.0000 0.0000 2.3144
Zn 0.0000 2.3144 0.0000
Fe 2.0452 0.0000 0.0000
Ca 0.0000 0.0000 0.0000
W 2.0452 2.3144 2.3144
CELL_PARAMETERS angstrom
4.0904 0.0000 0.0000
0.0000 4.6287 0.0000
0.0000 0.0000 4.6287

---

! SnRh2N | Alexandria | GGA-PBEsol | relaxed; values from VASP
! Total DFT energy (no corrections), Ry/atom: -0.4754
! SG: No. 225
! Total moment, μB per formula unit: 1.65
&SYSTEM
  ibrav = 0, nat = 4, ntyp = 3
/
ATOMIC_SPECIES
N 14.01 N.upf
Rh 102.91 Rh.upf
Sn 118.71 Sn.upf
ATOMIC_POSITIONS angstrom
N 0.0000 0.0000 0.0000
Rh 6.4116 3.7017 2.6175
Rh 2.1372 1.2339 0.8725
Sn 4.2744 2.4678 1.7450
CELL_PARAMETERS angstrom
4.2744 0.0000 0.0000
2.1372 3.7017 0.0000
2.1372 1.2339 3.4900

---

! TiMn2GeF | Alexandria | GGA-PBEsol | relaxed; values from VASP
! Total DFT energy (no corrections), Ry/atom: -0.4470
! SG: No. 123
! Total moment, μB per formula unit: 5.31
&SYSTEM
  ibrav = 0, nat = 5, ntyp = 4
/
ATOMIC_SPECIES
Ge 72.64 Ge.upf
Mn 54.94 Mn.upf
F 19.00 F.upf
Ti 47.87 Ti.upf
ATOMIC_POSITIONS angstrom
Ge -2.3005 -0.1009 -0.8780
Mn -0.0293 -2.1590 0.3249
Mn -0.7824 0.3137 2.0142
F -3.1122 -1.9461 1.4611
Ti 0.0000 0.0000 0.0000
CELL_PARAMETERS angstrom
-4.6010 -0.2018 -1.7559
-0.0586 -4.3179 0.6498
-1.5649 0.6274 4.0284

---

! Cu2Te | Alexandria | GGA-PBEsol | relaxed; values from VASP
! Total DFT energy (no corrections), Ry/atom: -0.2882
! SG: No. 191
! Total moment, μB per formula unit: 0.00
&SYSTEM
  ibrav = 0, nat = 6, ntyp = 2
/
ATOMIC_SPECIES
Cu 63.55 Cu.upf
Te 127.60 Te.upf
ATOMIC_POSITIONS angstrom
Cu 2.1059 1.2159 1.2512
Cu 0.0000 2.4317 1.2512
Cu 0.0000 2.4317 7.0881
Cu 2.1059 1.2159 7.0881
Te 0.0000 0.0000 2.2583
Te 0.0000 0.0000 6.0810
CELL_PARAMETERS angstrom
4.2118 0.0000 0.0000
-2.1059 3.6476 0.0000
0.0000 0.0000 8.3393

---

! TaTlMo2 | Alexandria | GGA-PBEsol | relaxed; values from VASP
! Total DFT energy (no corrections), Ry/atom: -0.6873
! SG: No. 123
! Total moment, μB per formula unit: 0.00
! Distance to the lowest polymorph of the same formula, meV per atom: 0
! DFT formation energy, eV/atom: 0.33
&SYSTEM
  ibrav = 0, nat = 4, ntyp = 3
/
ATOMIC_SPECIES
Ta 180.95 Ta.upf
Tl 204.38 Tl.upf
Mo 95.94 Mo.upf
ATOMIC_POSITIONS angstrom
Ta -0.9121 -1.1063 1.9269
Tl 1.6789 -2.6625 2.2598
Mo 4.0512 -2.4333 0.5206
Mo 1.1307 -0.6791 0.1453
CELL_PARAMETERS angstrom
-0.0470 0.6355 3.3364
-1.7771 -2.8481 0.5174
5.1819 -3.1124 0.6659

---

! KGa3Sn | Alexandria | GGA-PBEsol | relaxed; values from VASP
! Total DFT energy (no corrections), Ry/atom: -0.2015
! SG: No. 221
! Total moment, μB per formula unit: 0.00
! DFT formation energy, eV/atom: 0.34
&SYSTEM
  ibrav = 0, nat = 5, ntyp = 3
/
ATOMIC_SPECIES
Ga 69.72 Ga.upf
Sn 118.71 Sn.upf
K 39.10 K.upf
ATOMIC_POSITIONS angstrom
Ga 0.0000 2.6954 0.0000
Ga 0.0000 0.0000 2.6954
Ga 2.6954 0.0000 0.0000
Sn 0.0000 0.0000 0.0000
K 2.6954 2.6954 2.6954
CELL_PARAMETERS angstrom
5.3907 0.0000 0.0000
0.0000 5.3907 0.0000
0.0000 0.0000 5.3907

---

! SbRhS2Cl | Alexandria | GGA-PBEsol | relaxed; values from VASP
! Total DFT energy (no corrections), Ry/atom: -0.2807
! SG: No. 123
! Total moment, μB per formula unit: 2.31
&SYSTEM
  ibrav = 0, nat = 5, ntyp = 4
/
ATOMIC_SPECIES
Sb 121.76 Sb.upf
S 32.06 S.upf
Rh 102.91 Rh.upf
Cl 35.45 Cl.upf
ATOMIC_POSITIONS angstrom
Sb 0.0000 0.0000 0.0000
S 0.0000 2.4930 0.0000
S 0.0000 0.0000 2.4930
Rh 2.4691 2.4930 2.4930
Cl 2.4691 0.0000 0.0000
CELL_PARAMETERS angstrom
4.9381 0.0000 0.0000
0.0000 4.9860 0.0000
0.0000 0.0000 4.9860

---

! LaYW2 | Alexandria | GGA-PBEsol | relaxed; values from VASP
! Total DFT energy (no corrections), Ry/atom: -0.6705
! SG: No. 65
! Total moment, μB per formula unit: 0.00
! Distance to the lowest polymorph of the same formula, meV per atom: 226
! DFT formation energy, eV/atom: 0.82
&SYSTEM
  ibrav = 0, nat = 4, ntyp = 3
/
ATOMIC_SPECIES
W 183.84 W.upf
La 138.91 La.upf
Y 88.91 Y.upf
ATOMIC_POSITIONS angstrom
W -0.2949 1.4773 7.4026
W -0.1025 0.5132 2.5717
La 1.0087 -1.3192 0.3034
Y 0.8100 -0.3240 5.2906
CELL_PARAMETERS angstrom
-0.8948 -2.7274 0.5086
2.9122 0.0890 0.0983
-0.3974 1.9905 9.9744

---

! PrCuSe2 | Alexandria | GGA-PBEsol | relaxed; values from VASP
! Total DFT energy (no corrections), Ry/atom: -0.4085
! SG: No. 14
! Total moment, μB per formula unit: 0.00
&SYSTEM
  ibrav = 0, nat = 16, ntyp = 3
/
ATOMIC_SPECIES
Se 78.96 Se.upf
Cu 63.55 Cu.upf
Pr 140.91 Pr.upf
ATOMIC_POSITIONS angstrom
Se 3.4845 3.5371 5.8014
Se 2.3186 3.5529 1.6524
Se 0.4615 1.9612 4.5286
Se 5.3416 5.1289 2.9253
Se 5.7452 1.5886 0.8016
Se 3.0808 7.0774 5.3794
Se 2.7223 0.0127 2.0745
Se 0.0578 5.5015 6.6522
Cu -0.0391 3.8737 1.2136
Cu 5.8421 3.2164 6.2402
Cu 0.3646 0.3334 2.5133
Cu 5.4385 6.7567 4.9406
Pr 4.3284 2.1345 3.3779
Pr 1.4746 4.9556 4.0760
Pr 1.8783 1.4153 7.1048
Pr 3.9247 5.6748 0.3490
CELL_PARAMETERS angstrom
6.6104 0.0095 0.0000
-0.8073 7.0806 0.0000
0.0000 0.0000 7.4539

---

Question: What is the total moment in the ninth record?
Answer: 0.00 μB per formula unit

---

What did the ninth record say?
! KGa3Sn | Alexandria | GGA-PBEsol | relaxed; values from VASP
! Total DFT energy (no corrections), Ry/atom: -0.2015
! SG: No. 221
! Total moment, μB per formula unit: 0.00
! DFT formation energy, eV/atom: 0.34
&SYSTEM
  ibrav = 0, nat = 5, ntyp = 3
/
ATOMIC_SPECIES
Ga 69.72 Ga.upf
Sn 118.71 Sn.upf
K 39.10 K.upf
ATOMIC_POSITIONS angstrom
Ga 0.0000 2.6954 0.0000
Ga 0.0000 0.0000 2.6954
Ga 2.6954 0.0000 0.0000
Sn 0.0000 0.0000 0.0000
K 2.6954 2.6954 2.6954
CELL_PARAMETERS angstrom
5.3907 0.0000 0.0000
0.0000 5.3907 0.0000
0.0000 0.0000 5.3907

---

Please write out number 5 again, unchanged.
! SnRh2N | Alexandria | GGA-PBEsol | relaxed; values from VASP
! Total DFT energy (no corrections), Ry/atom: -0.4754
! SG: No. 225
! Total moment, μB per formula unit: 1.65
&SYSTEM
  ibrav = 0, nat = 4, ntyp = 3
/
ATOMIC_SPECIES
N 14.01 N.upf
Rh 102.91 Rh.upf
Sn 118.71 Sn.upf
ATOMIC_POSITIONS angstrom
N 0.0000 0.0000 0.0000
Rh 6.4116 3.7017 2.6175
Rh 2.1372 1.2339 0.8725
Sn 4.2744 2.4678 1.7450
CELL_PARAMETERS angstrom
4.2744 0.0000 0.0000
2.1372 3.7017 0.0000
2.1372 1.2339 3.4900

---

Question: total DFT energy (no corrections) of number 11 (LaYW2)?
Answer: -0.6705 Ry/atom